[1]
Ac6PrIn5: optimized geometry, PBE-GGA.

Computed properties:
Symmetry   No. 10
Energy relative to the elements   -322 meV per atom

Lattice parameters (Å, degrees): 5.7077 8.5121 9.2300 90.00 107.84 90.00
Last column: magnetic moment on the atom in μB.
Positions (direct):
Pr: 0.0000 0.0000 0.0000  0.17
Ac: 0.8263 0.7494 0.6533  0.02
Ac: 0.8263 0.2506 0.6533  0.02
Ac: 0.5000 0.2753 0.0000  0.03
Ac: 0.5000 0.7247 0.0000  0.03
Ac: 0.1737 0.7494 0.3467  0.02
Ac: 0.1737 0.2506 0.3467  0.02
In: 0.6712 0.5000 0.3406  0.01
In: 0.3525 0.0000 0.7065  0.00
In: 0.0000 0.5000 0.0000  0.00
In: 0.6475 0.0000 0.2935  0.00
In: 0.3288 0.5000 0.6594  0.01



[2]
BaZn2Rh: optimized geometry, PBE-GGA.

Computed properties:
Symmetry   No. 123
Energy relative to the elements   228 meV per atom

Lattice parameters (Å, degrees): 4.1931 4.1931 5.1445 90.00 90.00 90.00
Positions (direct):
Ba: 0.5000 0.0000 0.5000
Rh: 0.0000 0.5000 0.5000
Zn: 0.0000 0.0000 0.0000
Zn: 0.5000 0.5000 0.0000



[3]
KReMo: optimized geometry, PBE-GGA.

Computed properties:
Relative energy among the computed polymorphs   1072 meV/atom
Symmetry   No. 216
Energy relative to the elements   2010 meV per atom

Lattice parameters (Å, degrees): 4.4868 4.4868 4.4868 60.00 60.00 60.00
Positions (direct):
K: 0.5000 0.5000 0.5000
Mo: 0.7500 0.7500 0.7500
Re: 0.0000 0.0000 0.0000



[4]
TiBeNb2: optimized geometry, PBE-GGA.

Computed properties:
Symmetry   No. 123
Energy relative to the elements   30 meV per atom

Lattice parameters (Å, degrees): 4.1219 3.9208 3.9208 90.00 90.00 90.00
Positions (direct):
Be: 0.5000 0.0000 0.0000
Nb: 0.0000 0.0000 0.5000
Nb: 0.0000 0.5000 0.0000
Ti: 0.5000 0.5000 0.5000



[5]
RbAcSb: optimized geometry, PBE-GGA.

Computed properties:
Relative energy among the computed polymorphs   106 meV/atom
Symmetry   No. 156
Formation energy without anion corrections   -0.3651 eV per atom

Lattice parameters (Å, degrees): 5.4451 5.6114 5.6114 120.00 90.00 90.00
Positions (direct):
Sb: 0.1583 0.0000 0.0000
Ac: 0.1712 0.3333 0.6667
Rb: 0.6704 0.6667 0.3333



[6]
Th8AsRh3Se4: optimized geometry, PBE-GGA.

Computed properties:
Symmetry   No. 166
Formation energy without anion corrections   -1.2624 eV per atom

Lattice parameters (Å, degrees): 8.3244 8.5931 8.3247 118.97 120.00 90.00
Positions (direct):
Th: 0.2483 0.7335 0.9853
Th: 0.2483 0.7335 0.4966
Th: 0.2606 0.2818 0.5212
Th: 0.7370 0.7335 0.9853
Th: 0.2630 0.2665 0.0147
Th: 0.7394 0.7182 0.4788
Th: 0.7517 0.2665 0.5034
Th: 0.7517 0.2665 0.0147
As: 0.0000 0.5000 0.0000
Rh: 0.5000 0.5000 0.0000
Rh: 0.5000 0.5000 0.5000
Rh: 0.0000 0.5000 0.5000
Se: 0.5000 0.0000 0.0000
Se: 0.5000 0.0000 0.5000
Se: 0.0000 0.0000 0.0000
Se: 0.0000 0.0000 0.5000



[7]
PrHo3Rh8: optimized geometry, PBE-GGA.

Computed properties:
Symmetry   No. 156
Energy relative to the elements   -690 meV per atom

Lattice parameters (Å, degrees): 5.3503 5.3503 8.7673 90.00 90.00 120.00
Positions (direct):
Pr: 0.0000 0.0000 0.5676
Ho: 0.6667 0.3333 0.4304
Ho: 0.6667 0.3333 0.0654
Ho: 0.0000 0.0000 0.9351
Rh: 0.3333 0.6667 0.4990
Rh: 0.3333 0.6667 0.0000
Rh: 0.5021 0.0043 0.7540
Rh: 0.5021 0.4979 0.7540
Rh: 0.9957 0.4979 0.7540
Rh: 0.1648 0.3296 0.2468
Rh: 0.1648 0.8352 0.2468
Rh: 0.6704 0.8352 0.2468



[8]
Pm2SmErTm2: optimized geometry, PBE-GGA.

Computed properties:
Symmetry   No. 58
Energy relative to the elements   68 meV per atom

Lattice parameters (Å, degrees): 5.6240 9.7529 7.0101 90.00 90.00 90.00
Positions (direct):
Pm: 0.5000 0.8331 0.2479
Pm: 0.5000 0.1669 0.7521
Pm: 0.0000 0.6669 0.7479
Pm: 0.0000 0.3331 0.2521
Sm: 0.5000 0.5000 0.0000
Sm: 0.0000 0.0000 0.5000
Er: 0.0000 0.0000 0.0000
Er: 0.5000 0.5000 0.5000
Tm: 0.5000 0.1666 0.2502
Tm: 0.0000 0.6666 0.2498
Tm: 0.5000 0.8334 0.7498
Tm: 0.0000 0.3334 0.7502



Asked for final energy across the records above, the calculation gives -3.916 -2.728 -6.116 -7.910 -3.431 -7.512 -7.134 -4.553 eV/atom in order.
Asked for total magnetic moment across the records above, the calculation gives 0.72 0.00 0.00 0.00 0.00 0.00 0.00 0.00 μB per formula unit in order.